Record 1
Density functional theory data (PBE) for a relaxed structure of La3Hg3Pt2Au.

Summary:
V   24.26 Å³ per atom
Electronic total energy   -38.5 eV for the cell shown

a = 7.9063 Å, b = 7.9063 Å, c = 4.0339 Å
α = 90.00°, β = 90.00°, γ = 120.00°
Last column: nearest neighbours and their distance in Å.
Space group P-62m (No. 189)
Unique sites:
La  0.0000  0.4083  0.0000 [3 per cell]  4 Pt 3.13, 1 Au 3.23, 6 Hg 3.30-3.48
Hg  0.0000  0.7379  0.5000 [3 per cell]  2 Au 2.89, 2 Pt 2.96
Pt  0.3333  0.6667  0.5000 [2 per cell]  3 Hg 2.96, 6 La 3.13
Au  0.0000  0.0000  0.0000 [1 per cell]  6 Hg 2.89, 3 La 3.23

=====

Record 2
Density functional theory data (PBE) for a relaxed structure of La3Hg3PtAu2.

Summary:
V   24.70 Å³ per atom
Electronic total energy   -34.8 eV for the cell shown

a = 7.9170 Å, b = 7.9170 Å, c = 4.0953 Å
α = 90.00°, β = 90.00°, γ = 120.00°
Last column: nearest neighbours and their distance in Å.
Space group P-62m (No. 189)
Unique sites:
La  0.0000  0.3919  0.0000 [3 per cell]  1 Pt 3.10, 4 Au 3.19, 6 Hg 3.41-3.45
Hg  0.0000  0.7433  0.5000 [3 per cell]  2 Pt 2.89, 2 Au 2.99
Pt  0.0000  0.0000  0.0000 [1 per cell]  6 Hg 2.89, 3 La 3.10
Au  0.3333  0.6667  0.5000 [2 per cell]  3 Hg 2.99, 6 La 3.19

=====

Record 3
Density functional theory data (PBE) for a relaxed structure of LaTbHg2Au4.

Summary:
V   22.39 Å³ per atom
Electronic total energy   -28.1 eV for the cell shown

a = 5.0279 Å, b = 5.0279 Å, c = 7.0853 Å
α = 90.00°, β = 90.00°, γ = 90.00°
Last column: nearest neighbours and their distance in Å.
Space group P4/mmm (No. 123)
Unique sites:
La  0.0000  0.0000  0.0000 [1 per cell]  8 Au 3.13
Tb  0.5000  0.5000  0.5000 [1 per cell]  8 Au 3.02
Hg  0.0000  0.0000  0.5000 [1 per cell]  8 Au 3.02
Hg  0.5000  0.5000  0.0000 [1 per cell]  8 Au 3.13
Au  0.0000  0.5000  0.2635 [4 per cell]  4 Hg 3.02-3.13, 2 Tb 3.02, 2 La 3.13, 1 Au 3.35

=====

Record 4
Density functional theory data (PBE) for a relaxed structure of Li2HgAu2.

Summary:
V   17.56 Å³ per atom
Electronic total energy   -25.5 eV for the cell shown

a = 7.5508 Å, b = 7.5508 Å, c = 3.0804 Å
α = 90.00°, β = 90.00°, γ = 90.00°
Last column: nearest neighbours and their distance in Å.
Space group P4/mbm (No. 127)
Unique sites:
Li  0.1608  0.3392  0.0000 [4 per cell]  6 Au 2.67-2.72
Hg  0.0000  0.0000  0.5000 [2 per cell]  4 Au 2.94, 2 Hg 3.08, 8 Li 3.23
Au  0.1349  0.6349  0.5000 [4 per cell]  6 Li 2.67-2.72, 1 Au 2.88, 2 Hg 2.94

=====

Record 5
Density functional theory data (PBE) for a relaxed structure of Li2Mg2ZnHgAu2.

Summary:
V   17.14 Å³ per atom
Electronic total energy   -18.4 eV for the cell shown

a = 4.5769 Å, b = 4.5769 Å, c = 6.5460 Å
α = 90.00°, β = 90.00°, γ = 90.00°
Last column: nearest neighbours and their distance in Å.
Space group P-4m2 (No. 115)
Unique sites:
Li  0.0000  0.5000  0.2389 [2 per cell]  2 Zn 2.77, 4 Mg 2.77-2.86, 2 Hg 2.86, 1 Au 3.04
Mg  0.0000  0.0000  0.0000 [1 per cell]  4 Au 2.72, 4 Li 2.77
Mg  0.5000  0.5000  0.5000 [1 per cell]  4 Li 2.86, 4 Au 2.91
Zn  0.5000  0.5000  0.0000 [1 per cell]  4 Au 2.72, 4 Li 2.77
Hg  0.0000  0.0000  0.5000 [1 per cell]  4 Li 2.86, 4 Au 2.91
Au  0.0000  0.5000  0.7751 [2 per cell]  2 Zn 2.72, 4 Mg 2.72-2.91, 2 Hg 2.91, 1 Li 3.04

=====

Record 6
Density functional theory data (PBE) for a relaxed structure of Li4Sn2HgAu.

Summary:
V   18.14 Å³ per atom
Electronic total energy   -22.7 eV for the cell shown

a = 4.6796 Å, b = 4.6796 Å, c = 6.6266 Å
α = 90.00°, β = 90.00°, γ = 90.00°
Last column: nearest neighbours and their distance in Å.
Space group P-4m2 (No. 115)
Unique sites:
Li  0.0000  0.0000  0.0000 [1 per cell]  4 Li 2.80, 4 Sn 2.83
Li  0.0000  0.5000  0.2329 [2 per cell]  4 Li 2.80-2.93, 2 Au 2.80, 2 Hg 2.93, 1 Sn 3.13
Li  0.5000  0.5000  0.5000 [1 per cell]  4 Sn 2.91, 4 Li 2.93
Sn  0.0000  0.5000  0.7598 [2 per cell]  5 Li 2.83-3.13, 2 Au 2.83, 2 Hg 2.91
Hg  0.0000  0.0000  0.5000 [1 per cell]  4 Sn 2.91, 4 Li 2.93
Au  0.5000  0.5000  0.0000 [1 per cell]  4 Li 2.80, 4 Sn 2.83

=====

Record 7
Density functional theory data (PBE) for a relaxed structure of LuHgAu.

Summary:
V   24.82 Å³ per atom
Electronic total energy   -38.2 eV for the cell shown

a = 6.6779 Å, b = 6.6779 Å, c = 6.6779 Å
α = 90.00°, β = 90.00°, γ = 90.00°
Last column: nearest neighbours and their distance in Å.
Space group F-43m (No. 216)
Unique sites:
Lu  0.0000  0.0000  0.0000 [4 per cell]  4 Au 2.89
Hg  0.0000  0.0000  0.5000 [4 per cell]  4 Au 2.89
Au  0.2500  0.2500  0.7500 [4 per cell]  4 Hg 2.89, 4 Lu 2.89

=====

Record 8
Density functional theory data (PBE) for a relaxed structure of Pr2NdMg3Hg2Au.

Summary:
V   26.01 Å³ per atom
Electronic total energy   -54.3 eV for the cell shown

a = 4.3022 Å, b = 13.7351 Å, c = 7.9239 Å
α = 90.00°, β = 90.00°, γ = 90.00°
Last column: nearest neighbours and their distance in Å.
Space group Amm2 (No. 38)
Unique sites:
Pr  0.0000  0.2028  0.0000 [4 per cell]  1 Au 3.22, 4 Hg 3.23, 6 Mg 3.53-3.56
Nd  0.0000  0.0000  0.6082 [2 per cell]  1 Au 3.20, 4 Hg 3.22, 6 Mg 3.52-3.56
Mg  0.5000  0.0000  0.9659 [2 per cell]  2 Au 2.86, 2 Hg 3.09
Mg  0.5000  0.1181  0.3216 [4 per cell]  2 Au 2.85, 2 Hg 3.09-3.12
Hg  0.5000  0.1656  0.7022 [4 per cell]  3 Mg 3.09-3.12, 2 Nd 3.22, 4 Pr 3.23
Au  0.0000  0.0000  0.2039 [2 per cell]  6 Mg 2.85-2.86

=====

Record 9
Density functional theory data (PBE) for a relaxed structure of NdTm2Mg3Hg2Au.

Summary:
V   24.09 Å³ per atom
Electronic total energy   -53.1 eV for the cell shown

a = 4.2174 Å, b = 13.4225 Å, c = 7.6598 Å
α = 90.00°, β = 90.00°, γ = 90.00°
Last column: nearest neighbours and their distance in Å.
Space group Amm2 (No. 38)
Unique sites:
Nd  0.0000  0.0000  0.0000 [2 per cell]  1 Au 3.18, 4 Hg 3.21, 6 Mg 3.42-3.46
Tm  0.0000  0.2017  0.6096 [4 per cell]  1 Au 3.09, 4 Hg 3.12, 4 Mg 3.42-3.44
Mg  0.5000  0.0000  0.6492 [2 per cell]  2 Au 2.76, 2 Hg 3.03
Mg  0.5000  0.1210  0.2886 [4 per cell]  2 Au 2.83, 2 Hg 2.92-3.01
Hg  0.5000  0.1720  0.9060 [4 per cell]  3 Mg 2.92-3.03, 4 Tm 3.12, 2 Nd 3.21
Au  0.0000  0.0000  0.4158 [2 per cell]  6 Mg 2.76-2.83, 2 Tm 3.09

=====

Record 10
Density functional theory data (PBE) for a relaxed structure of Pr3MgHg2PdAu2.

Summary:
V   24.47 Å³ per atom
Electronic total energy   -68.5 eV for the cell shown

a = 4.0551 Å, b = 13.8561 Å, c = 7.8390 Å
α = 90.00°, β = 90.00°, γ = 90.00°
Last column: nearest neighbours and their distance in Å.
Space group Amm2 (No. 38)
Unique sites:
Pr  0.0000  0.0000  0.0000 [2 per cell]  1 Pd 3.12, 4 Au 3.14, 4 Hg 3.40
Pr  0.0000  0.2081  0.5786 [4 per cell]  4 Au 3.14-3.21, 1 Pd 3.21, 4 Hg 3.37-3.38
Mg  0.5000  0.0000  0.6245 [2 per cell]  2 Pd 2.69, 2 Au 2.90
Hg  0.5000  0.1286  0.2640 [4 per cell]  2 Pd 2.90, 2 Au 3.10-3.11
Pd  0.0000  0.0000  0.3985 [2 per cell]  2 Mg 2.69, 4 Hg 2.90
Au  0.5000  0.1564  0.8709 [4 per cell]  1 Mg 2.90, 2 Hg 3.10-3.11, 6 Pr 3.14-3.21

=====

Record 11
Density functional theory data (PBE) for a relaxed structure of Pr3Mg2HgPd2Au.

Summary:
V   23.86 Å³ per atom
Electronic total energy   -74.8 eV for the cell shown

a = 4.1338 Å, b = 13.2958 Å, c = 7.8128 Å
α = 90.00°, β = 90.00°, γ = 90.00°
Last column: nearest neighbours and their distance in Å.
Space group Amm2 (No. 38)
Unique sites:
Pr  0.0000  0.0000  0.0000 [2 per cell]  1 Au 3.11, 4 Pd 3.13, 2 Hg 3.26
Pr  0.0000  0.2000  0.3645 [4 per cell]  4 Pd 3.10-3.15, 1 Au 3.24, 2 Mg 3.38, 2 Hg 3.38
Mg  0.5000  0.1238  0.6992 [4 per cell]  2 Au 2.75, 2 Pd 2.91-2.92
Hg  0.5000  0.0000  0.3221 [2 per cell]  2 Au 3.01, 2 Pd 3.05, 2 Pr 3.26
Pd  0.5000  0.1722  0.0643 [4 per cell]  2 Mg 2.91-2.92, 1 Hg 3.05, 6 Pr 3.10-3.15
Au  0.0000  0.0000  0.6018 [2 per cell]  4 Mg 2.75, 2 Hg 3.01

=====

Record 12
Density functional theory data (PBE) for a relaxed structure of Pr3Mg2HgPt2Au.

Summary:
V   23.66 Å³ per atom
Electronic total energy   -81.0 eV for the cell shown

a = 4.1000 Å, b = 13.3053 Å, c = 7.8068 Å
α = 90.00°, β = 90.00°, γ = 90.00°
Last column: nearest neighbours and their distance in Å.
Space group Amm2 (No. 38)
Unique sites:
Pr  0.0000  0.0000  0.0000 [2 per cell]  1 Au 3.12, 4 Pt 3.12, 2 Hg 3.25
Pr  0.0000  0.2018  0.3642 [4 per cell]  4 Pt 3.06-3.14, 1 Au 3.26, 2 Mg 3.34, 2 Hg 3.39
Mg  0.5000  0.1250  0.7006 [4 per cell]  2 Au 2.75, 2 Pt 2.89-2.90
Hg  0.5000  0.0000  0.3239 [2 per cell]  2 Au 2.98, 2 Pt 3.08, 2 Pr 3.25
Pt  0.5000  0.1732  0.0627 [4 per cell]  2 Mg 2.89-2.90, 6 Pr 3.06-3.14, 1 Hg 3.08
Au  0.0000  0.0000  0.6003 [2 per cell]  4 Mg 2.75, 2 Hg 2.98

=====

Record 13
Density functional theory data (PBE) for a relaxed structure of Pr3MgHg2Pt2Au.

Summary:
V   23.75 Å³ per atom
Electronic total energy   -78.2 eV for the cell shown

a = 4.0535 Å, b = 13.6348 Å, c = 7.7351 Å
α = 90.00°, β = 90.00°, γ = 90.00°
Last column: nearest neighbours and their distance in Å.
Space group Amm2 (No. 38)
Unique sites:
Pr  0.0000  0.0000  0.0000 [2 per cell]  4 Pt 3.09, 1 Au 3.27, 2 Mg 3.36, 4 Hg 3.42
Pr  0.0000  0.2095  0.6011 [4 per cell]  4 Pt 3.08-3.18, 1 Au 3.17, 4 Hg 3.26-3.43
Mg  0.5000  0.0000  0.6537 [2 per cell]  2 Au 2.70, 2 Pt 2.81
Hg  0.5000  0.1302  0.2717 [4 per cell]  2 Au 2.94, 2 Pt 3.01-3.02, 2 Pr 3.26
Pt  0.5000  0.1584  0.8863 [4 per cell]  1 Mg 2.81, 2 Hg 3.01-3.02, 4 Pr 3.08-3.09
Au  0.0000  0.0000  0.4227 [2 per cell]  2 Mg 2.70, 4 Hg 2.94

=====

Record 14
Density functional theory data (PBE) for a relaxed structure of PrY2Mg3Hg2Au.

Summary:
V   24.72 Å³ per atom
Electronic total energy   -61.5 eV for the cell shown

a = 4.2369 Å, b = 13.5323 Å, c = 7.7598 Å
α = 90.00°, β = 90.00°, γ = 90.00°
Last column: nearest neighbours and their distance in Å.
Space group Amm2 (No. 38)
Unique sites:
Pr  0.0000  0.0000  0.0000 [2 per cell]  1 Au 3.20, 4 Hg 3.22, 6 Mg 3.47-3.49
Y  0.0000  0.2017  0.6083 [4 per cell]  1 Au 3.13, 4 Hg 3.15-3.16, 6 Mg 3.44-3.49
Mg  0.5000  0.0000  0.6462 [2 per cell]  2 Au 2.79, 2 Hg 3.06
Mg  0.5000  0.1211  0.2883 [4 per cell]  2 Au 2.84, 2 Hg 2.96-3.05
Hg  0.5000  0.1710  0.9049 [4 per cell]  3 Mg 2.96-3.06, 4 Y 3.15-3.16, 2 Pr 3.22
Au  0.0000  0.0000  0.4120 [2 per cell]  6 Mg 2.79-2.84, 2 Y 3.13

=====

Record 15
Density functional theory data (PBE) for a relaxed structure of Mg2Sc2Hg3Au.

Summary:
V   20.16 Å³ per atom
Electronic total energy   -23.8 eV for the cell shown

a = 4.8583 Å, b = 4.8583 Å, c = 6.8321 Å
α = 90.00°, β = 90.00°, γ = 90.00°
Last column: nearest neighbours and their distance in Å.
Space group P-4m2 (No. 115)
Unique sites:
Mg  0.0000  0.5000  0.2434 [2 per cell]  6 Hg 2.94-3.00, 2 Au 2.94
Sc  0.0000  0.5000  0.7580 [2 per cell]  2 Au 2.94, 6 Hg 2.94-3.00
Hg  0.0000  0.0000  0.0000 [1 per cell]  4 Sc 2.94, 4 Mg 2.94
Hg  0.0000  0.0000  0.5000 [1 per cell]  4 Mg 3.00, 4 Sc 3.00
Hg  0.5000  0.5000  0.5000 [1 per cell]  4 Mg 3.00, 4 Sc 3.00
Au  0.5000  0.5000  0.0000 [1 per cell]  4 Sc 2.94, 4 Mg 2.94

=====

Record 16
Density functional theory data (PBE) for a relaxed structure of Sm3Mg3HgAu2.

Summary:
V   24.36 Å³ per atom
Electronic total energy   -30.8 eV for the cell shown

a = 7.7526 Å, b = 7.7526 Å, c = 4.2128 Å
α = 90.00°, β = 90.00°, γ = 120.00°
Last column: nearest neighbours and their distance in Å.
Space group P-62m (No. 189)
Unique sites:
Sm  0.0000  0.5832  0.0000 [3 per cell]  4 Au 3.14, 1 Hg 3.23, 2 Mg 3.32
Mg  0.0000  0.2520  0.5000 [3 per cell]  2 Hg 2.87, 2 Au 2.95
Hg  0.0000  0.0000  0.0000 [1 per cell]  6 Mg 2.87
Au  0.3333  0.6667  0.5000 [2 per cell]  3 Mg 2.95, 6 Sm 3.14

=====

Record 17
Density functional theory data (PBE) for a relaxed structure of TbMgHgAu.

Summary:
V   21.84 Å³ per atom
Electronic total energy   -48.9 eV for the cell shown

a = 7.0440 Å, b = 7.0440 Å, c = 7.0440 Å
α = 90.00°, β = 90.00°, γ = 90.00°
Last column: nearest neighbours and their distance in Å.
Space group F-43m (No. 216)
Unique sites:
Tb  0.0000  0.0000  0.0000 [4 per cell]  4 Au 3.05, 4 Hg 3.05
Mg  0.0000  0.0000  0.5000 [4 per cell]  4 Hg 3.05, 4 Au 3.05
Hg  0.2500  0.2500  0.2500 [4 per cell]  4 Tb 3.05, 4 Mg 3.05
Au  0.2500  0.2500  0.7500 [4 per cell]  4 Tb 3.05, 4 Mg 3.05

=====

Record 18
Density functional theory data (PBE) for a relaxed structure of Tm3Mg3HgAu2.

Summary:
V   22.70 Å³ per atom
Electronic total energy   -30.1 eV for the cell shown

a = 7.5979 Å, b = 7.5979 Å, c = 4.0868 Å
α = 90.00°, β = 90.00°, γ = 120.00°
Last column: nearest neighbours and their distance in Å.
Space group P-62m (No. 189)
Unique sites:
Tm  0.0000  0.5845  0.0000 [3 per cell]  4 Au 3.07, 1 Hg 3.16, 6 Mg 3.23-3.43
Mg  0.0000  0.2553  0.5000 [3 per cell]  2 Hg 2.82, 2 Au 2.88
Hg  0.0000  0.0000  0.0000 [1 per cell]  6 Mg 2.82
Au  0.3333  0.6667  0.5000 [2 per cell]  3 Mg 2.88, 6 Tm 3.07

=====

Record 19
Density functional theory data (PBE) for a relaxed structure of Tm3Mg3Hg2Au.

Summary:
V   23.22 Å³ per atom
Electronic total energy   -26.3 eV for the cell shown

a = 7.6240 Å, b = 7.6240 Å, c = 4.1507 Å
α = 90.00°, β = 90.00°, γ = 120.00°
Last column: nearest neighbours and their distance in Å.
Space group P-62m (No. 189)
Unique sites:
Tm  0.0000  0.5950  0.0000 [3 per cell]  1 Au 3.09, 4 Hg 3.11, 6 Mg 3.38-3.40
Mg  0.0000  0.2443  0.5000 [3 per cell]  2 Au 2.79, 2 Hg 2.94
Hg  0.3333  0.6667  0.5000 [2 per cell]  3 Mg 2.94, 6 Tm 3.11
Au  0.0000  0.0000  0.0000 [1 per cell]  6 Mg 2.79, 3 Tm 3.09

=====

Record 20
Density functional theory data (PBE) for a relaxed structure of TmMgHgAu.

Summary:
V   21.13 Å³ per atom
Electronic total energy   -48.1 eV for the cell shown

a = 6.9669 Å, b = 6.9669 Å, c = 6.9669 Å
α = 90.00°, β = 90.00°, γ = 90.00°
Last column: nearest neighbours and their distance in Å.
Space group F-43m (No. 216)
Unique sites:
Tm  0.0000  0.0000  0.0000 [4 per cell]  4 Hg 3.02, 4 Au 3.02
Mg  0.0000  0.0000  0.5000 [4 per cell]  4 Hg 3.02, 4 Au 3.02
Hg  0.2500  0.2500  0.2500 [4 per cell]  4 Mg 3.02, 4 Tm 3.02
Au  0.2500  0.2500  0.7500 [4 per cell]  4 Mg 3.02, 4 Tm 3.02